No. 1
Material: ErBe8As6
Method: DFT, PBE
State: optimized geometry

Unit cell a=6.760 b=6.760 c=12.186 alpha=90.00 beta=90.00 gamma=120.00
Atoms (fractional coordinates):
Er1 0.000 0.000 0.000
Er2 0.000 0.000 0.500
Be1 0.000 0.343 0.180
Be2 0.000 0.343 0.829
Be3 0.000 0.657 0.329
Be4 0.000 0.657 0.680
Be5 0.333 0.667 0.434
Be6 0.333 0.667 0.934
Be7 0.343 0.000 0.180
Be8 0.343 0.000 0.829
Be9 0.343 0.343 0.329
Be10 0.343 0.343 0.680
Be11 0.657 0.000 0.329
Be12 0.657 0.000 0.680
Be13 0.657 0.657 0.180
Be14 0.657 0.657 0.829
Be15 0.667 0.333 0.434
Be16 0.667 0.333 0.934
As1 0.000 0.000 0.251
As2 0.000 0.000 0.751
As3 0.000 0.415 0.004
As4 0.000 0.585 0.504
As5 0.333 0.667 0.246
As6 0.333 0.667 0.746
As7 0.415 0.000 0.004
As8 0.415 0.415 0.504
As9 0.585 0.000 0.504
As10 0.585 0.585 0.004
As11 0.667 0.333 0.246
As12 0.667 0.333 0.746

- spin magnetization (μB/cell) = 0.000
- formation energy (meV per atom) = -87
- space-group type = P6_3cm (185)

=====

No. 2
Material: Li2ZnP
Method: DFT, PBE
State: optimized geometry

Unit cell a=4.376 b=4.376 c=4.376 alpha=60.00 beta=60.00 gamma=60.00
Atoms (fractional coordinates):
Li1 0.000 0.000 0.000
Li2 0.250 0.250 0.250
Zn1 0.500 0.500 0.500
P1 0.750 0.750 0.750

- spin magnetization (μB/cell) = 0.000
- formation energy (meV per atom) = -232
- ΔE to the lowest computed polymorph (eV per atom) = 0.1609
- space-group type = F-43m (216)

=====

No. 3
Material: NdYInPt
Method: DFT, PBE
State: optimized geometry

Unit cell a=5.222 b=5.222 c=5.222 alpha=60.00 beta=60.00 gamma=60.00
Atoms (fractional coordinates):
Nd1 0.000 0.000 0.000
Y1 0.500 0.500 0.500
In1 0.750 0.750 0.750
Pt1 0.250 0.250 0.250

- spin magnetization (μB/cell) = 0.000
- formation energy (meV per atom) = -697
- space-group type = F-43m (216)

=====

No. 4
Material: Hf3NbPt
Method: DFT, PBE
State: optimized geometry

Unit cell a=5.001 b=5.001 c=5.001 alpha=90.00 beta=90.00 gamma=90.00
Atoms (fractional coordinates):
Hf1 0.000 0.000 0.500
Hf2 0.000 0.500 0.000
Hf3 0.500 0.000 0.000
Nb1 0.500 0.500 0.500
Pt1 0.000 0.000 0.000

- spin magnetization (μB/cell) = 1.272
- formation energy (meV per atom) = 549
- ΔE to the lowest computed polymorph (eV per atom) = 0.0000
- space-group type = Pm-3m (221)

=====

No. 5
Material: SiSb2Te
Method: DFT, PBE
State: optimized geometry

Unit cell a=3.648 b=5.211 c=5.286 alpha=90.00 beta=90.00 gamma=90.00
Atoms (fractional coordinates):
Si1 0.000 0.000 0.000
Sb1 0.000 0.500 0.500
Sb2 0.500 0.000 0.500
Te1 0.500 0.500 0.000

- spin magnetization (μB/cell) = 0.000
- uncorrected formation energy (eV/atom) = 0.4318
- ΔE to the lowest computed polymorph (eV per atom) = 0.3474
- space-group type = Pmmm (47)

=====

No. 6
Material: Si2NiP
Method: DFT, PBE
State: optimized geometry

Unit cell a=4.264 b=4.264 c=2.964 alpha=90.00 beta=90.00 gamma=105.89
Atoms (fractional coordinates):
Si1 0.000 0.500 0.000
Si2 0.500 0.000 0.000
Ni1 0.000 0.000 0.500
P1 0.500 0.500 0.500

- spin magnetization (μB/cell) = 0.000
- uncorrected formation energy (eV/atom) = 0.2230
- space-group type = Cmmm (65)